Record 1
Ca2Mn2N3 | PBE | optimized geometry

Lattice parameters (Å, degrees): 9.996 3.232 5.645 90.00 105.47 90.00
Space group C2/m (No. 12)
Inequivalent atoms, fractional coordinates:
Ca (0.107, 0.000, 0.326) (multiplicity 4)
Mn (0.161, 0.500, 0.915) (multiplicity 4)
N (0.000, 0.500, 0.000) (multiplicity 2)
N (0.212, 0.000, 0.761) (multiplicity 4)

Output
V: 12.56 A^3/atom
density of states at the Fermi level: 6.6 states/eV per cell

Record 2
Ca5Mn2N6 | PBE | optimized geometry

Lattice parameters (Å, degrees): 6.361 4.955 6.894 90.00 104.03 90.00
Space group Pm (No. 6)
Inequivalent atoms, fractional coordinates:
Ca (0.000, 0.000, 0.000) (multiplicity 1)
Ca (0.108, 0.000, 0.544) (multiplicity 1)
Ca (0.301, 0.500, 0.267) (multiplicity 1)
Ca (0.671, 0.500, 0.719) (multiplicity 1)
Ca (0.786, 0.500, 0.219) (multiplicity 1)
Mn (0.195, 0.500, 0.820) (multiplicity 1)
Mn (0.614, 0.000, 0.406) (multiplicity 1)
N (0.001, 0.500, 0.975) (multiplicity 1)
N (0.130, 0.500, 0.563) (multiplicity 1)
N (0.338, 0.000, 0.310) (multiplicity 1)
N (0.448, 0.500, 0.957) (multiplicity 1)
N (0.737, 0.000, 0.655) (multiplicity 1)
N (0.802, 0.000, 0.259) (multiplicity 1)

Output
V: 16.21 A^3/atom
ΔE to the lowest computed polymorph: 0.000 eV per atom
density of states at the Fermi level: 3.4 states/eV per cell

Record 3
Ca4MnN4 | PBE | optimized geometry

Lattice parameters (Å, degrees): 11.145 4.919 10.901 90.00 90.00 90.00
Space group Pnma (No. 62)
Inequivalent atoms, fractional coordinates:
Ca (0.059, 0.250, 0.112) (multiplicity 4)
Ca (0.096, 0.750, 0.315) (multiplicity 4)
Ca (0.130, 0.750, 0.658) (multiplicity 4)
Ca (0.230, 0.250, 0.474) (multiplicity 4)
Mn (0.132, 0.250, 0.850) (multiplicity 4)
N (0.013, 0.750, 0.106) (multiplicity 4)
N (0.075, 0.250, 0.331) (multiplicity 4)
N (0.176, 0.250, 0.701) (multiplicity 4)
N (0.238, 0.250, 0.974) (multiplicity 4)

Output
V: 16.60 A^3/atom
ΔE to the lowest computed polymorph: 0.000 eV per atom
density of states at the Fermi level: 9.5 states/eV per cell

Record 4
CaMn2N | PBE | optimized geometry

Lattice parameters (Å, degrees): 8.362 8.362 8.362 90.00 90.00 90.00
Space group Fd-3m (No. 227, origin choice 2)
Inequivalent atoms, fractional coordinates:
Ca (0.125, 0.125, 0.125) (multiplicity 8)
Mn (0.000, 0.000, 0.500) (multiplicity 16)
N (0.125, 0.125, 0.625) (multiplicity 8)

Output
V: 18.27 A^3/atom
density of states at the Fermi level: 20.6 states/eV per cell

Record 5
NaCa2Mn2N4 | PBE | optimized geometry

Lattice parameters (Å, degrees): 12.729 3.204 6.083 90.00 115.52 90.00
Space group C2/m (No. 12)
Inequivalent atoms, fractional coordinates:
Na (0.000, 0.000, 0.000) (multiplicity 2)
Ca (0.127, 0.000, 0.517) (multiplicity 4)
Mn (0.180, 0.500, 0.968) (multiplicity 4)
N (0.038, 0.500, 0.751) (multiplicity 4)
N (0.222, 0.000, 0.193) (multiplicity 4)

Output
V: 12.44 A^3/atom
density of states at the Fermi level: 6.3 states/eV per cell

Record 6
Ca4MnNb3N8 | PBE | optimized geometry

Lattice parameters (Å, degrees): 6.4025 6.4025 16.5673 90.00 90.00 120.00
Space group R-3m (No. 166, hexagonal axes)
Inequivalent atoms, fractional coordinates:
Ca (0.0000, 0.0000, 0.0000) (multiplicity 3)
Ca (0.0000, 0.5000, 0.0000) (multiplicity 9)
Mn (0.0000, 0.0000, 0.5000) (multiplicity 3)
Nb (0.0000, 0.5000, 0.5000) (multiplicity 9)
N (0.0000, 0.0000, 0.2390) (multiplicity 6)
N (0.0045, 0.5022, 0.7631) (multiplicity 18)

Output
V: 12.25 A^3/atom
density of states at the Fermi level: 18.5 states/eV per cell

Record 7
CaMnNbN3 | PBE | optimized geometry

Lattice parameters (Å, degrees): 6.774 3.182 7.462 90.00 104.15 90.00
Space group P2_1/m (No. 11)
Inequivalent atoms, fractional coordinates:
Ca (0.181, 0.250, 0.193) (multiplicity 2)
Mn (0.101, 0.250, 0.602) (multiplicity 2)
Nb (0.348, 0.750, 0.858) (multiplicity 2)
N (0.123, 0.250, 0.857) (multiplicity 2)
N (0.186, 0.750, 0.524) (multiplicity 2)
N (0.432, 0.750, 0.148) (multiplicity 2)

Output
V: 13.00 A^3/atom
density of states at the Fermi level: 6.0 states/eV per cell

Record 8
Ca3Np3MnN8 | PBE | optimized geometry

Lattice parameters (Å, degrees): 6.6928 6.6928 17.0093 90.00 90.00 120.00
Space group R-3m (No. 166, hexagonal axes)
Inequivalent atoms, fractional coordinates:
Ca (0.0000, 0.5000, 0.0000) (multiplicity 9)
Np (0.0000, 0.5000, 0.5000) (multiplicity 9)
Mn (0.0000, 0.0000, 0.5000) (multiplicity 3)
N (0.0000, 0.0000, 0.2430) (multiplicity 6)
N (0.0167, 0.5083, 0.2308) (multiplicity 18)

Output
V: 14.66 A^3/atom
density of states at the Fermi level: 47.6 states/eV per cell

Record 9
CaNp2MnN4 | PBE | optimized geometry

Lattice parameters (Å, degrees): 3.388 11.440 11.348 90.00 90.00 90.00
Space group Cmcm (No. 63)
Inequivalent atoms, fractional coordinates:
Ca (0.000, 0.099, 0.250) (multiplicity 4)
Np (0.000, 0.370, 0.055) (multiplicity 8)
Mn (0.000, 0.167, 0.750) (multiplicity 4)
N (0.000, 0.000, 0.000) (multiplicity 4)
N (0.000, 0.265, 0.609) (multiplicity 8)
N (0.000, 0.432, 0.250) (multiplicity 4)

Output
V: 13.75 A^3/atom
density of states at the Fermi level: 31.0 states/eV per cell

Record 10
CaNpMnN3 | PBE | optimized geometry

Lattice parameters (Å, degrees): 6.970 3.421 7.627 90.00 97.85 90.00
Space group P2_1/m (No. 11)
Inequivalent atoms, fractional coordinates:
Ca (0.161, 0.250, 0.173) (multiplicity 2)
Np (0.354, 0.750, 0.830) (multiplicity 2)
Mn (0.069, 0.250, 0.599) (multiplicity 2)
N (0.134, 0.250, 0.849) (multiplicity 2)
N (0.166, 0.750, 0.546) (multiplicity 2)
N (0.424, 0.750, 0.129) (multiplicity 2)

Output
V: 15.02 A^3/atom
density of states at the Fermi level: 16.4 states/eV per cell

ΔE_f (raw) per entry: -4.79 -9.80 -7.37 -0.27 -4.39 -15.81 -4.70 -13.80 -7.51 -4.96 eV per formula unit
Spin magnetization per entry: 0.1 2.0 4.0 36.1 0.0 11.5 1.1 30.1 7.5 7.1 μB per cell